DFT (meta-GGA SCAN) results for TcPb3N at its PBEsol-relaxed geometry.

a b c (Å): 5.2040 5.2040 5.2040
angles (deg): 90.00 90.00 90.00
Closest atoms and distances in Å follow each position.
Fractional positions:
Pb1 0.5000 0.0000 0.0000  2 Tc 2.60
Pb2 0.0000 0.0000 0.5000  2 Tc 2.60
Pb3 0.0000 0.5000 0.0000  2 Tc 2.60
Tc1 0.0000 0.0000 0.0000  6 Pb 2.60
N1 0.5000 0.5000 0.5000  12 Pb 3.68

Calculated values
SG: No. 221
volume: 28.19 Å³ per atom
formation energy from raw total energies: 5.38 eV/f.u.

=====

DFT (meta-GGA SCAN) results for FeSO4 at its PBEsol-relaxed geometry.

a b c (Å): 4.8214 6.5453 8.7512
angles (deg): 90.00 90.00 90.00
Closest atoms and distances in Å follow each position.
Fractional positions:
O1 0.2689 0.7500 0.3776  1 S 1.49
O2 0.1631 0.4376 0.6227  1 S 1.47
O3 0.4593 0.2500 0.3484  1 S 1.51
O4 0.6631 0.9376 0.8773  1 S 1.47
O5 0.7311 0.2500 0.6224  1 S 1.49
O6 0.9593 0.7500 0.1516  1 S 1.51
O7 0.6631 0.5624 0.8773  1 S 1.47
O8 0.1631 0.0624 0.6227  1 S 1.47
O9 0.0407 0.2500 0.8484  1 S 1.51
O10 0.5407 0.7500 0.6516  1 S 1.51
O11 0.3369 0.0624 0.1227  1 S 1.47
O12 0.3369 0.4376 0.1227  1 S 1.47
O13 0.2311 0.7500 0.8776  1 S 1.49
O14 0.7689 0.2500 0.1224  1 S 1.49
O15 0.8369 0.5624 0.3773  1 S 1.47
O16 0.8369 0.9376 0.3773  1 S 1.47
Fe1 0.0000 0.5000 0.0000  4 O 1.99-2.12
Fe2 0.5000 0.0000 0.5000  4 O 1.99-2.12
Fe3 0.0000 0.0000 0.0000  4 O 1.99-2.12
Fe4 0.5000 0.5000 0.5000  4 O 1.99-2.12
S1 0.0253 0.2500 0.6761  4 O 1.47-1.51
S2 0.9747 0.7500 0.3239  4 O 1.47-1.51
S3 0.5253 0.7500 0.8239  4 O 1.47-1.51
S4 0.4747 0.2500 0.1761  4 O 1.47-1.51

Calculated values
SG: No. 62
volume: 11.51 Å³ per atom
formation energy from raw total energies: -9.40 eV/f.u.

=====

DFT (meta-GGA SCAN) results for Nb4CuSi at its PBEsol-relaxed geometry.

a b c (Å): 5.0062 6.1812 6.1812
angles (deg): 90.00 90.00 90.00
Closest atoms and distances in Å follow each position.
Fractional positions:
Nb1 0.5000 0.8414 0.6584  2 Si 2.64, 2 Cu 2.64, 1 Nb 2.77
Nb2 0.0000 0.6584 0.8414  2 Si 2.64, 2 Cu 2.64, 1 Nb 2.77
Nb3 0.5000 0.1586 0.3416  2 Si 2.64, 2 Cu 2.64, 1 Nb 2.77
Nb4 0.0000 0.3416 0.1586  2 Si 2.64, 2 Cu 2.64, 1 Nb 2.77
Nb5 0.5000 0.6584 0.1586  2 Si 2.64, 2 Cu 2.64, 1 Nb 2.77
Nb6 0.0000 0.8414 0.3416  2 Si 2.64, 2 Cu 2.64, 1 Nb 2.77
Nb7 0.5000 0.3416 0.8414  2 Si 2.64, 2 Cu 2.64, 1 Nb 2.77
Nb8 0.0000 0.1586 0.6584  2 Si 2.64, 2 Cu 2.64, 1 Nb 2.77
Si1 0.2500 0.5000 0.5000  2 Si 2.50, 8 Nb 2.64
Si2 0.7500 0.5000 0.5000  2 Si 2.50, 8 Nb 2.64
Cu1 0.2500 0.0000 0.0000  2 Cu 2.50, 8 Nb 2.64
Cu2 0.7500 0.0000 0.0000  2 Cu 2.50, 8 Nb 2.64

Calculated values
SG: No. 124
volume: 15.94 Å³ per atom
formation energy from raw total energies: -1.63 eV/f.u.

=====

DFT (meta-GGA SCAN) results for Lu2Be2GeO7 at its PBEsol-relaxed geometry.

a b c (Å): 4.7088 7.2522 7.2522
angles (deg): 90.00 90.00 90.00
Closest atoms and distances in Å follow each position.
Fractional positions:
O1 0.7730 0.8301 0.9161  1 Be 1.67, 1 Ge 1.74
O2 0.2270 0.3301 0.5839  1 Be 1.67, 1 Ge 1.74
O3 0.1968 0.0000 0.5000  2 Be 1.56
O4 0.2270 0.0839 0.8301  1 Be 1.67, 1 Ge 1.74
O5 0.7162 0.1424 0.6424  1 Be 1.58
O6 0.7730 0.1699 0.0839  1 Be 1.67, 1 Ge 1.74
O7 0.7162 0.8576 0.3576  1 Be 1.58
O8 0.2270 0.9161 0.1699  1 Be 1.67, 1 Ge 1.74
O9 0.7730 0.5839 0.6699  1 Be 1.67, 1 Ge 1.74
O10 0.8032 0.5000 0.0000  2 Be 1.56
O11 0.2838 0.6424 0.8576  1 Be 1.58
O12 0.2838 0.3576 0.1424  1 Be 1.58
O13 0.2270 0.6699 0.4161  1 Be 1.67, 1 Ge 1.74
O14 0.7730 0.4161 0.3301  1 Be 1.67, 1 Ge 1.74
Ge1 0.0000 0.5000 0.5000  4 O 1.74
Ge2 0.0000 0.0000 0.0000  4 O 1.74
Be1 0.0524 0.1368 0.6368  4 O 1.56-1.67
Be2 0.9476 0.3632 0.1368  4 O 1.56-1.67
Be3 0.0524 0.8632 0.3632  4 O 1.56-1.67
Be4 0.9476 0.6368 0.8632  4 O 1.56-1.67
Lu1 0.5076 0.1569 0.3431  6 O 2.18-2.38
Lu2 0.4924 0.6569 0.1569  6 O 2.18-2.38
Lu3 0.5076 0.8431 0.6569  6 O 2.18-2.38
Lu4 0.4924 0.3431 0.8431  6 O 2.18-2.38

Calculated values
SG: No. 113
volume: 10.32 Å³ per atom
formation energy from raw total energies: -37.99 eV/f.u.

=====

DFT (meta-GGA SCAN) results for ScCuPt2 at its PBEsol-relaxed geometry.

a b c (Å): 2.8772 3.8951 5.3841
angles (deg): 90.00 90.00 90.00
Closest atoms and distances in Å follow each position.
Fractional positions:
Cu1 0.5000 0.5000 0.7700  6 Pt 2.65-2.74, 4 Sc 2.84, 2 Cu 2.88
Pt1 0.5000 0.5000 0.2614  2 Cu 2.65-2.74, 4 Sc 2.73, 6 Pt 2.87-2.88
Pt2 0.0000 0.0000 0.9735  2 Sc 2.58-2.81, 4 Cu 2.66, 6 Pt 2.87-2.88
Sc1 0.0000 0.0000 0.4950  6 Pt 2.58-2.81, 4 Cu 2.84, 2 Sc 2.88

Calculated values
SG: No. 25
volume: 15.08 Å³ per atom
final energy: -1.5886 hartree per atom

=====

DFT (meta-GGA SCAN) results for Cr2FeTe at its PBEsol-relaxed geometry.

a b c (Å): 3.0884 3.0889 5.6552
angles (deg): 90.00 90.01 90.00
Closest atoms and distances in Å follow each position.
Fractional positions:
Fe1 0.9999 0.0000 0.4914  4 Te 2.59, 5 Cr 2.60-2.62
Cr1 0.4996 0.5000 0.2432  4 Cr 2.50, 4 Fe 2.60, 1 Te 2.80
Cr2 0.0004 0.0000 0.0278  4 Cr 2.50, 1 Fe 2.62, 4 Te 2.73
Te1 0.5000 0.5000 0.7375  4 Fe 2.59, 6 Cr 2.73-2.86

Calculated values
SG: No. 99
volume: 13.49 Å³ per atom
formation energy from raw total energies: 1.53 eV/f.u.

=====

DFT (meta-GGA SCAN) results for LiNiP2O at its PBEsol-relaxed geometry.

a b c (Å): 3.3905 4.6650 4.6650
angles (deg): 90.00 90.00 90.00
Closest atoms and distances in Å follow each position.
Fractional positions:
O1 0.5000 0.0000 0.0000  2 Ni 1.70
P1 0.0000 0.0000 0.5000  2 Ni 2.33
P2 0.0000 0.5000 0.0000  2 Ni 2.33
Ni1 0.0000 0.0000 0.0000  2 O 1.70
Li1 0.5000 0.5000 0.5000  8 P 2.88

Calculated values
SG: No. 123
volume: 14.76 Å³ per atom
formation energy from raw total energies: 0.38 eV/f.u.

=====

DFT (meta-GGA SCAN) results for NaAgAs2Se at its PBEsol-relaxed geometry.

a b c (Å): 4.9428 4.9428 5.2497
angles (deg): 90.00 90.00 90.00
Closest atoms and distances in Å follow each position.
Fractional positions:
As1 0.5000 0.0000 0.0000  2 Ag 2.47
As2 0.0000 0.5000 0.0000  2 Ag 2.47
Na1 0.5000 0.5000 0.5000  4 Se 3.50, 8 As 3.61
Se1 0.0000 0.0000 0.5000  2 Ag 2.62
Ag1 0.0000 0.0000 0.0000  4 As 2.47, 2 Se 2.62

Calculated values
SG: No. 123
volume: 25.65 Å³ per atom
formation energy from raw total energies: 1.84 eV/f.u.